Density functional theory data (PBE-GGA) for a relaxed structure of MnCo2Tc.

The structure belongs to space group P4mm (No. 99); the cell edges are 2.562, 2.562 and 7.180 Å and the angles 90.00°, 90.00° and 90.00°. The distinct sites, in fractional coordinates, are Mn at (0.000, 0.000, 0.000), Co at (0.000, 0.000, 0.533), Co at (0.500, 0.500, 0.768) and Tc at (0.500, 0.500, 0.271).

As for the formation energy: 0.121 eV per atom. As for the density of states at the Fermi level: 5.98 states/eV/cell. The calculation puts the energy above the lowest structure with this stoichiometry at 0.109 eV per atom.

***

Density functional theory data (PBE-GGA) for a relaxed structure of CaMg11.

The structure belongs to space group I4_1/amd (No. 141, origin choice 2); the cell edges are 12.312, 12.312 and 7.948 Å and the angles 90.00°, 90.00° and 90.00°. The distinct sites, in fractional coordinates, are Ca at (0.000, 0.250, 0.375), Mg at (0.000, 0.000, 0.000), Mg at (0.000, 0.250, 0.875) and Mg at (0.123, 0.045, 0.679).

As for the formation energy: 0.005 eV per atom. As for the density of states at the Fermi level: 18.61 states/eV/cell.